Ce2TiNi4Ge3: relaxed, PBE.

Results
**ΔH_f (0 K)**: -652 meV/atom
**SG**: P-4m2 (115)

Cell: 4.0957 4.0957 9.9048 Å, 90.00 90.00 90.00°
Closest atoms and distances in Å follow each position.
Element x y z (fractional)
1 Ce 0.5000 0.0000 0.2422  6 Ge 3.11-3.27, 8 Ni 3.14-3.15, 2 Ti 3.27
2 Ce 0.0000 0.5000 0.7578  6 Ge 3.11-3.27, 8 Ni 3.14-3.15, 2 Ti 3.27
3 Ni 0.0000 0.5000 0.3653  3 Ge 2.36-2.44, 2 Ti 2.44
4 Ni 0.5000 0.0000 0.6347  3 Ge 2.36-2.44, 2 Ti 2.44
5 Ni 0.0000 0.0000 0.0000  4 Ge 2.40
6 Ni 0.5000 0.5000 0.0000  4 Ge 2.40
7 Ge 0.5000 0.0000 0.8731  5 Ni 2.36-2.40
8 Ge 0.0000 0.0000 0.5000  4 Ni 2.44
9 Ge 0.0000 0.5000 0.1269  5 Ni 2.36-2.40
10 Ti 0.5000 0.5000 0.5000  4 Ni 2.44

=====

Ce2TiNi3Ge4: relaxed, PBE.

Results
**ΔH_f (0 K)**: -676 meV/atom
**SG**: P-4m2 (115)

Cell: 4.1303 4.1303 10.2192 Å, 90.00 90.00 90.00°
Closest atoms and distances in Å follow each position.
Element x y z (fractional)
1 Ni 0.0000 0.5000 0.1192  5 Ge 2.39-2.40
2 Ni 0.5000 0.0000 0.8808  5 Ge 2.39-2.40
3 Ni 0.0000 0.0000 0.5000  4 Ge 2.56
4 Ge 0.5000 0.5000 0.0000  4 Ni 2.40
5 Ge 0.5000 0.0000 0.6473  3 Ni 2.39-2.56, 2 Ti 2.56
6 Ge 0.0000 0.0000 0.0000  4 Ni 2.40
7 Ge 0.0000 0.5000 0.3527  3 Ni 2.39-2.56, 2 Ti 2.56
8 Ti 0.5000 0.5000 0.5000  4 Ge 2.56
9 Ce 0.5000 0.0000 0.2364  8 Ge 3.15-3.18, 6 Ni 3.16-3.39, 2 Ti 3.39
10 Ce 0.0000 0.5000 0.7636  8 Ge 3.15-3.18, 6 Ni 3.16-3.39, 2 Ti 3.39

=====

Ce2VNiGe6: relaxed, PBE.

Results
**ΔH_f (0 K)**: -375 meV/atom
**SG**: Pmmn (59)

Cell: 6.3843 7.0279 8.8297 Å, 90.00 90.00 90.00°
Closest atoms and distances in Å follow each position.
Element x y z (fractional)
1 Ge 0.3039 0.4430 0.5000  1 Ni 2.32, 1 Ge 2.50
2 Ge 0.5000 0.2798 0.2572  1 Ni 2.37, 1 V 2.47
3 Ge 0.5000 0.2798 0.7428  1 Ni 2.37, 1 V 2.47
4 Ge 0.8053 0.9221 0.5000  1 V 2.34, 1 Ni 2.44, 1 Ge 2.49
5 Ge 0.6947 0.0779 0.0000  1 V 2.34, 1 Ni 2.44, 1 Ge 2.49
6 Ge 0.1947 0.9221 0.5000  1 V 2.34, 1 Ni 2.44, 1 Ge 2.49
7 Ge 0.1961 0.5570 0.0000  1 Ni 2.32, 1 Ge 2.50
8 Ge 0.6961 0.4430 0.5000  1 Ni 2.32, 1 Ge 2.50
9 Ge 0.0000 0.7202 0.2428  1 Ni 2.37, 1 V 2.47
10 Ge 0.3053 0.0779 0.0000  1 V 2.34, 1 Ni 2.44, 1 Ge 2.49
11 Ge 0.8039 0.5570 0.0000  1 Ni 2.32, 1 Ge 2.50
12 Ge 0.0000 0.7202 0.7572  1 Ni 2.37, 1 V 2.47
13 Ce 0.0000 0.2399 0.7386  11 Ge 3.20-3.44, 1 V 3.35, 1 Ni 3.42
14 Ce 0.0000 0.2399 0.2614  11 Ge 3.20-3.44, 1 V 3.35, 1 Ni 3.42
15 Ce 0.5000 0.7601 0.7614  11 Ge 3.20-3.44, 1 V 3.35, 1 Ni 3.42
16 Ce 0.5000 0.7601 0.2386  11 Ge 3.20-3.44, 1 V 3.35, 1 Ni 3.42
17 V 0.5000 0.1058 0.5000  4 Ge 2.34-2.47
18 V 0.0000 0.8942 0.0000  4 Ge 2.34-2.47
19 Ni 0.5000 0.3766 0.0000  6 Ge 2.32-2.44
20 Ni 0.0000 0.6234 0.5000  6 Ge 2.32-2.44